The following is a GGA+U calculation of a geometry-optimized Fe2O3 structure, from Alexandria.

POSCAR file:
```
Fe2O3
1.0
3.786 0.000 0.000
0.000 3.786 0.000
0.000 0.000 3.786
Fe O
2 3
Cartesian
0.000 0.000 0.000
1.893 1.893 1.893
0.000 0.000 1.893
0.000 1.893 0.000
1.893 0.000 0.000
```

Output
The total energy comes out at -5.881 eV per atom. The symmetry is Pm-3m. The value obtained for the total magnetization is 1.73 μB per atom.